DFT (PBE) results for crystalline KMnRu at its relaxed geometry.

abc: 4.7479 4.7479 4.7479
angles: 60.00 60.00 60.00
With the nearest neighbours (Å) after each atom.
Atoms (fractional coordinates):
Mn1 0.0000 0.0000 0.0000  4 K 2.91
K1 0.7500 0.7500 0.7500  4 Mn 2.91, 4 Ru 2.91
Ru1 0.5000 0.5000 0.5000  4 K 2.91

Properties
Spin magnetization: 5.98 μB per formula unit
Formation energy: 6.83 eV/f.u.
D(E_F): 6.09 states/eV/cell
Distance to the lowest polymorph of the same formula: 1.574 eV/atom